(1)
The following is a DFT calculation (PBE) of a geometry-optimized Nd5PuIn3 structure. Values from VASP.

For the total energy, the calculation gives -5.46 eV per atom. The formation energy is -2.80 eV/f.u. Its crystal system is hexagonal. Its density of states at the Fermi level is 13.83 states/eV/f.u.

The structure in Quantum ESPRESSO input format:
```
&SYSTEM
  ibrav = 0, nat = 18, ntyp = 3
/
ATOMIC_SPECIES
Nd 144.24 Nd.upf
Pu 244.00 Pu.upf
In 114.82 In.upf
CELL_PARAMETERS angstrom
-1.404 -4.988 4.423
3.855 -6.424 -6.022
5.503 4.304 6.602
ATOMIC_POSITIONS angstrom
Nd 5.331 -5.187 3.713
Nd 4.953 0.728 2.394
Nd 4.550 -8.797 -0.607
Nd 3.702 -5.342 0.397
Nd 0.172 -5.782 1.404
Nd 2.279 -5.630 -3.003
Nd 2.622 -1.921 1.290
Nd 4.251 -1.766 4.605
Nd 4.404 -2.848 -1.814
Nd 3.403 1.690 5.610
Pu -0.702 -2.494 2.211
Pu 0.000 0.000 0.000
In 1.474 -7.953 -0.631
In 0.977 -3.460 -0.969
In 6.409 -7.343 1.623
In 1.545 0.236 3.380
In 2.170 -4.471 3.517
In 5.783 -2.637 1.486
```

---

(2)
The following is a DFT calculation (PBE) of a geometry-optimized LaHgW2 structure. Values from VASP.

For the total energy, the calculation gives -6.92 eV per atom. The formation energy is 3.45 eV/f.u. Its crystal system is monoclinic. Its density of states at the Fermi level is 3.55 states/eV/f.u.

The structure in Quantum ESPRESSO input format:
```
&SYSTEM
  ibrav = 0, nat = 4, ntyp = 3
/
ATOMIC_SPECIES
W 183.84 W.upf
Hg 200.59 Hg.upf
La 138.91 La.upf
CELL_PARAMETERS angstrom
-3.107 4.081 2.065
-2.613 -5.266 -0.591
0.050 -1.003 2.730
ATOMIC_POSITIONS angstrom
W 0.000 0.000 0.000
W -1.529 1.539 2.398
Hg -1.281 -3.134 1.070
La -2.860 -0.593 0.737
```

---

Number 2 is which compound?
LaHgW2